# LaPmNi PBE relaxed
data_LaPmNi
_chemical_formula_sum 'La2 Pm2 Ni2'
_symmetry_space_group_name_H-M 'I 4 m m'
_symmetry_Int_Tables_number 107
_symmetry_space_group_name_Hall 'I 4 -2'
_cell_length_a 3.540
_cell_length_b 3.540
_cell_length_c 13.006
_cell_angle_alpha 90.00
_cell_angle_beta 90.00
_cell_angle_gamma 90.00
loop_
_atom_site_label
_atom_site_type_symbol
_atom_site_fract_x
_atom_site_fract_y
_atom_site_fract_z
La1 La 0.000 0.000 0.000
Pm1 Pm 0.000 0.000 0.254
Ni1 Ni 0.000 0.000 0.633
# - total magnetization (μB/f.u.) = 0.00
# - energy of formation from the pure elements (eV/atom) = -0.145
# - final energy (eV per atom) = -5.298
# - energy above the most stable polymorph in this dataset (meV per atom) = 16
# - calculated density (Mg/m³) = 6.980


# LaPmNiPt PBE relaxed
data_LaPmNiPt
_chemical_formula_sum 'La4 Pm4 Ni4 Pt4'
_symmetry_space_group_name_H-M 'F -4 3 m'
_symmetry_Int_Tables_number 216
_symmetry_space_group_name_Hall 'F -4 2 3'
_cell_length_a 7.162
_cell_length_b 7.162
_cell_length_c 7.162
_cell_angle_alpha 90.00
_cell_angle_beta 90.00
_cell_angle_gamma 90.00
loop_
_atom_site_label
_atom_site_type_symbol
_atom_site_fract_x
_atom_site_fract_y
_atom_site_fract_z
La1 La 0.000 0.000 0.000
Pm1 Pm 0.000 0.000 0.500
Ni1 Ni 0.250 0.250 0.250
Pt1 Pt 0.250 0.250 0.750
# - total magnetization (μB/f.u.) = 0.00
# - energy of formation from the pure elements (eV/atom) = -0.650
# - final energy (eV per atom) = -6.025
# - energy above the most stable polymorph in this dataset (meV per atom) = 112
# - calculated density (Mg/m³) = 9.721


# LaPmNiPt PBE relaxed
data_LaPmNiPt
_chemical_formula_sum 'La2 Pm2 Ni2 Pt2'
_symmetry_space_group_name_H-M 'A m m 2'
_symmetry_Int_Tables_number 38
_symmetry_space_group_name_Hall 'A 2 -2'
_cell_length_a 4.458
_cell_length_b 3.925
_cell_length_c 10.819
_cell_angle_alpha 90.00
_cell_angle_beta 90.00
_cell_angle_gamma 90.00
loop_
_atom_site_label
_atom_site_type_symbol
_atom_site_fract_x
_atom_site_fract_y
_atom_site_fract_z
La1 La 0.000 0.000 0.000
Pm1 Pm 0.500 0.000 0.274
Ni1 Ni 0.500 0.000 0.556
Pt1 Pt 0.000 0.000 0.718
# - total magnetization (μB/f.u.) = 0.00
# - energy of formation from the pure elements (eV/atom) = -0.762
# - final energy (eV per atom) = -6.137
# - energy above the most stable polymorph in this dataset (meV per atom) = 0
# - calculated density (Mg/m³) = 9.434


# LaPmNiRh PBE relaxed
data_LaPmNiRh
_chemical_formula_sum 'La2 Pm2 Ni2 Rh2'
_symmetry_space_group_name_H-M 'A m m 2'
_symmetry_Int_Tables_number 38
_symmetry_space_group_name_Hall 'A 2 -2'
_cell_length_a 4.221
_cell_length_b 3.960
_cell_length_c 10.941
_cell_angle_alpha 90.00
_cell_angle_beta 90.00
_cell_angle_gamma 90.00
loop_
_atom_site_label
_atom_site_type_symbol
_atom_site_fract_x
_atom_site_fract_y
_atom_site_fract_z
La1 La 0.000 0.000 0.000
Pm1 Pm 0.500 0.000 0.277
Ni1 Ni 0.500 0.000 0.561
Rh1 Rh 0.000 0.000 0.723
# - total magnetization (μB/f.u.) = 0.00
# - energy of formation from the pure elements (eV/atom) = -0.543
# - final energy (eV per atom) = -6.246
# - energy above the most stable polymorph in this dataset (meV per atom) = 0
# - calculated density (Mg/m³) = 8.090


# LaPmNiRh PBE relaxed
data_LaPmNiRh
_chemical_formula_sum 'La4 Pm4 Ni4 Rh4'
_symmetry_space_group_name_H-M 'F -4 3 m'
_symmetry_Int_Tables_number 216
_symmetry_space_group_name_Hall 'F -4 2 3'
_cell_length_a 7.073
_cell_length_b 7.073
_cell_length_c 7.073
_cell_angle_alpha 90.00
_cell_angle_beta 90.00
_cell_angle_gamma 90.00
loop_
_atom_site_label
_atom_site_type_symbol
_atom_site_fract_x
_atom_site_fract_y
_atom_site_fract_z
La1 La 0.000 0.000 0.000
Pm1 Pm 0.000 0.000 0.500
Ni1 Ni 0.250 0.250 0.250
Rh1 Rh 0.250 0.250 0.750
# - total magnetization (μB/f.u.) = 0.00
# - energy of formation from the pure elements (eV/atom) = -0.469
# - final energy (eV per atom) = -6.172
# - energy above the most stable polymorph in this dataset (meV per atom) = 74
# - calculated density (Mg/m³) = 8.362


# La2PmSi2Ni2 PBE relaxed
data_La2PmSi2Ni2
_chemical_formula_sum 'La6 Pm3 Si6 Ni6'
_symmetry_space_group_name_H-M 'R -3 m'
_symmetry_Int_Tables_number 166
_symmetry_space_group_name_Hall '-R 3 2"'
_cell_length_a 4.1875
_cell_length_b 4.1875
_cell_length_c 29.9283
_cell_angle_alpha 90.00
_cell_angle_beta 90.00
_cell_angle_gamma 120.00
loop_
_atom_site_label
_atom_site_type_symbol
_atom_site_fract_x
_atom_site_fract_y
_atom_site_fract_z
La1 La 0.0000 0.0000 0.1247
Pm1 Pm 0.0000 0.0000 0.0000
Si1 Si 0.0000 0.0000 0.2681
Ni1 Ni 0.0000 0.0000 0.3958
# - total magnetization (μB/f.u.) = 0.00
# - E_form (uncorrected) (eV/atom) = -0.612
# - final energy (eV per atom) = -5.900
# - calculated density (Mg/m³) = 6.537


# LaPmSiNi PBE relaxed
data_LaPmSiNi
_chemical_formula_sum 'La2 Pm2 Si2 Ni2'
_symmetry_space_group_name_H-M 'A m m 2'
_symmetry_Int_Tables_number 38
_symmetry_space_group_name_Hall 'A 2 -2'
_cell_length_a 4.218
_cell_length_b 4.539
_cell_length_c 9.812
_cell_angle_alpha 90.00
_cell_angle_beta 90.00
_cell_angle_gamma 90.00
loop_
_atom_site_label
_atom_site_type_symbol
_atom_site_fract_x
_atom_site_fract_y
_atom_site_fract_z
La1 La 0.000 0.000 0.000
Pm1 Pm 0.500 0.000 0.298
Si1 Si 0.500 0.000 0.605
Ni1 Ni 0.000 0.000 0.711
# - total magnetization (μB/f.u.) = 0.00
# - E_form (uncorrected) (eV/atom) = -0.561
# - final energy (eV per atom) = -5.782
# - energy above the most stable polymorph in this dataset (meV per atom) = 0
# - calculated density (Mg/m³) = 6.553


# LaPmSiNi PBE relaxed
data_LaPmSiNi
_chemical_formula_sum 'La4 Pm4 Si4 Ni4'
_symmetry_space_group_name_H-M 'F -4 3 m'
_symmetry_Int_Tables_number 216
_symmetry_space_group_name_Hall 'F -4 2 3'
_cell_length_a 7.208
_cell_length_b 7.208
_cell_length_c 7.208
_cell_angle_alpha 90.00
_cell_angle_beta 90.00
_cell_angle_gamma 90.00
loop_
_atom_site_label
_atom_site_type_symbol
_atom_site_fract_x
_atom_site_fract_y
_atom_site_fract_z
La1 La 0.000 0.000 0.000
Pm1 Pm 0.000 0.000 0.500
Si1 Si 0.250 0.250 0.250
Ni1 Ni 0.250 0.250 0.750
# - total magnetization (μB/f.u.) = 0.00
# - E_form (uncorrected) (eV/atom) = -0.366
# - final energy (eV per atom) = -5.587
# - energy above the most stable polymorph in this dataset (meV per atom) = 195
# - calculated density (Mg/m³) = 6.576